1.
# ThTcP2Rh, optimized geometry, DFT PBE-GGA
# spin magnetization: 0.000 Bohr magnetons per cell
# E_tot: -8.188 eV per atom
# formation enthalpy at 0 K: -1.00 eV per atom
# DOS at the Fermi energy: 5.4 states/eV per cell
data_ThTcP2Rh
_chemical_formula_sum 'Th2 Tc2 P4 Rh2'
_symmetry_space_group_name_H-M 'I -4 m 2'
_symmetry_Int_Tables_number 119
_symmetry_space_group_name_Hall 'I -4 -2'
_cell_length_a 4.0942
_cell_length_b 4.0942
_cell_length_c 10.0340
_cell_angle_alpha 90.00
_cell_angle_beta 90.00
_cell_angle_gamma 90.00
loop_
_atom_site_label
_atom_site_type_symbol
_atom_site_fract_x
_atom_site_fract_y
_atom_site_fract_z
Th1 Th 0.0000 0.0000 0.0000
Tc1 Tc 0.0000 0.5000 0.2500
P1 P 0.0000 0.0000 0.3747
Rh1 Rh 0.0000 0.5000 0.7500

***

2.
# UTcPRh, optimized geometry, DFT PBE-GGA
# spin magnetization: 1.330 Bohr magnetons per cell
# E_tot: -8.703 eV per atom
# formation enthalpy at 0 K: -0.10 eV per atom
# DOS at the Fermi energy: 5.4 states/eV per cell
data_UTcPRh
_chemical_formula_sum 'U1 Tc1 P1 Rh1'
_symmetry_space_group_name_H-M 'P m m m'
_symmetry_Int_Tables_number 47
_cell_length_a 3.3453
_cell_length_b 4.6210
_cell_length_c 4.7136
_cell_angle_alpha 90.00
_cell_angle_beta 90.00
_cell_angle_gamma 90.00
loop_
_symmetry_equiv_pos_as_xyz
'x,y,z'
'-x,-y,-z'
'-x,-y,z'
'x,y,-z'
'x,-y,-z'
'-x,y,z'
'-x,y,-z'
'x,-y,z'
loop_
_atom_site_label
_atom_site_type_symbol
_atom_site_fract_x
_atom_site_fract_y
_atom_site_fract_z
U1 U 0.0000 0.0000 0.0000
Tc1 Tc 0.5000 0.5000 0.0000
P1 P 0.5000 0.5000 0.5000
Rh1 Rh 0.5000 0.0000 0.5000

***

3.
# UTcP2Rh, optimized geometry, DFT PBE-GGA
# spin magnetization: 3.841 Bohr magnetons per cell
# E_tot: -8.713 eV per atom
# formation enthalpy at 0 K: -0.75 eV per atom
# DOS at the Fermi energy: 14.1 states/eV per cell
data_UTcP2Rh
_chemical_formula_sum 'U2 Tc2 P4 Rh2'
_symmetry_space_group_name_H-M 'I -4 m 2'
_symmetry_Int_Tables_number 119
_symmetry_space_group_name_Hall 'I -4 -2'
_cell_length_a 4.0165
_cell_length_b 4.0165
_cell_length_c 9.8043
_cell_angle_alpha 90.00
_cell_angle_beta 90.00
_cell_angle_gamma 90.00
loop_
_atom_site_label
_atom_site_type_symbol
_atom_site_fract_x
_atom_site_fract_y
_atom_site_fract_z
U1 U 0.0000 0.0000 0.0000
Tc1 Tc 0.0000 0.5000 0.7500
P1 P 0.0000 0.0000 0.3821
Rh1 Rh 0.0000 0.5000 0.2500

***

4.
# TePRh2, optimized geometry, DFT PBE-GGA
# spin magnetization: 0.000 Bohr magnetons per cell
# E_tot: -5.407 eV per atom
# polymorph energy (0 for the lowest one): 81.28 kJ per mole of atoms
# formation energy without anion corrections: 406 meV/atom
# DOS at the Fermi energy: 16.3 states/eV per cell
data_TePRh2
_chemical_formula_sum 'Te4 P4 Rh8'
_symmetry_space_group_name_H-M 'F -4 3 m'
_symmetry_Int_Tables_number 216
_symmetry_space_group_name_Hall 'F -4 2 3'
_cell_length_a 6.4335
_cell_length_b 6.4335
_cell_length_c 6.4335
_cell_angle_alpha 90.00
_cell_angle_beta 90.00
_cell_angle_gamma 90.00
loop_
_atom_site_label
_atom_site_type_symbol
_atom_site_fract_x
_atom_site_fract_y
_atom_site_fract_z
Te1 Te 0.0000 0.0000 0.0000
P1 P 0.2500 0.2500 0.2500
Rh1 Rh 0.0000 0.0000 0.5000
Rh2 Rh 0.2500 0.2500 0.7500

***

5.
# TeP3Rh, optimized geometry, DFT PBE-GGA
# spin magnetization: 0.000 Bohr magnetons per cell
# E_tot: -4.778 eV per atom
# polymorph energy (0 for the lowest one): 0.00 kJ per mole of atoms
# formation energy without anion corrections: 566 meV/atom
# DOS at the Fermi energy: 6.3 states/eV per cell
data_TeP3Rh
_chemical_formula_sum 'Te1 P3 Rh1'
_symmetry_space_group_name_H-M 'P m -3 m'
_symmetry_Int_Tables_number 221
_symmetry_space_group_name_Hall '-P 4 2 3'
_cell_length_a 4.6497
_cell_length_b 4.6497
_cell_length_c 4.6497
_cell_angle_alpha 90.00
_cell_angle_beta 90.00
_cell_angle_gamma 90.00
loop_
_atom_site_label
_atom_site_type_symbol
_atom_site_fract_x
_atom_site_fract_y
_atom_site_fract_z
Te1 Te 0.0000 0.0000 0.0000
P1 P 0.0000 0.5000 0.5000
Rh1 Rh 0.5000 0.5000 0.5000

***

6.
# Te2PRh, optimized geometry, DFT PBE-GGA
# spin magnetization: 0.000 Bohr magnetons per cell
# E_tot: -4.721 eV per atom
# formation energy without anion corrections: 40 meV/atom
# DOS at the Fermi energy: 5.5 states/eV per cell
data_Te2PRh
_chemical_formula_sum 'Te4 P2 Rh2'
_symmetry_space_group_name_H-M 'I m m m'
_symmetry_Int_Tables_number 71
_symmetry_space_group_name_Hall '-I 2 2'
_cell_length_a 3.7018
_cell_length_b 3.8312
_cell_length_c 13.0600
_cell_angle_alpha 90.00
_cell_angle_beta 90.00
_cell_angle_gamma 90.00
loop_
_atom_site_label
_atom_site_type_symbol
_atom_site_fract_x
_atom_site_fract_y
_atom_site_fract_z
Te1 Te 0.0000 0.0000 0.1543
P1 P 0.0000 0.5000 0.0000
Rh1 Rh 0.0000 0.5000 0.5000

***

7.
# TePRh2, optimized geometry, DFT PBE-GGA
# spin magnetization: 0.000 Bohr magnetons per cell
# E_tot: -5.692 eV per atom
# polymorph energy (0 for the lowest one): 53.81 kJ per mole of atoms
# formation energy without anion corrections: 122 meV/atom
# DOS at the Fermi energy: 12.8 states/eV per cell
data_TePRh2
_chemical_formula_sum 'Te4 P4 Rh8'
_symmetry_space_group_name_H-M 'F m m m'
_symmetry_Int_Tables_number 69
_symmetry_space_group_name_Hall '-F 2 2'
_cell_length_a 5.6411
_cell_length_b 6.0663
_cell_length_c 8.2408
_cell_angle_alpha 90.00
_cell_angle_beta 90.00
_cell_angle_gamma 90.00
loop_
_atom_site_label
_atom_site_type_symbol
_atom_site_fract_x
_atom_site_fract_y
_atom_site_fract_z
Te1 Te 0.0000 0.0000 0.0000
P1 P 0.0000 0.0000 0.5000
Rh1 Rh 0.0000 0.2500 0.2500

***

8.
# Te2PRh, optimized geometry, DFT PBE-GGA
# spin magnetization: 0.000 Bohr magnetons per cell
# E_tot: -4.856 eV per atom
# formation energy without anion corrections: -95 meV/atom
# DOS at the Fermi energy: 3.8 states/eV per cell
data_Te2PRh
_chemical_formula_sum 'Te6 P3 Rh3'
_symmetry_space_group_name_H-M 'R 3 m'
_symmetry_Int_Tables_number 160
_symmetry_space_group_name_Hall 'R 3 -2"'
_cell_length_a 3.3992
_cell_length_b 3.3992
_cell_length_c 28.2284
_cell_angle_alpha 90.00
_cell_angle_beta 90.00
_cell_angle_gamma 120.00
loop_
_atom_site_label
_atom_site_type_symbol
_atom_site_fract_x
_atom_site_fract_y
_atom_site_fract_z
Te1 Te 0.0000 0.0000 0.0000
Te2 Te 0.0000 0.0000 0.1924
P1 P 0.0000 0.0000 0.4482
Rh1 Rh 0.0000 0.0000 0.7373

***

9.
# TeP2Rh, optimized geometry, DFT PBE-GGA
# spin magnetization: 0.000 Bohr magnetons per cell
# E_tot: -4.824 eV per atom
# formation energy without anion corrections: 504 meV/atom
# DOS at the Fermi energy: 2.7 states/eV per cell
data_TeP2Rh
_chemical_formula_sum 'Te2 P4 Rh2'
_symmetry_space_group_name_H-M 'C m m m'
_symmetry_Int_Tables_number 65
_symmetry_space_group_name_Hall '-C 2 2'
_cell_length_a 5.6485
_cell_length_b 7.1235
_cell_length_c 3.4487
_cell_angle_alpha 90.00
_cell_angle_beta 90.00
_cell_angle_gamma 90.00
loop_
_atom_site_label
_atom_site_type_symbol
_atom_site_fract_x
_atom_site_fract_y
_atom_site_fract_z
Te1 Te 0.0000 0.0000 0.0000
P1 P 0.2500 0.2500 0.5000
Rh1 Rh 0.0000 0.5000 0.0000

***

10.
# TePRh2, optimized geometry, DFT PBE-GGA
# spin magnetization: 0.000 Bohr magnetons per cell
# E_tot: -5.984 eV per atom
# polymorph energy (0 for the lowest one): 25.65 kJ per mole of atoms
# formation energy without anion corrections: -170 meV/atom
# DOS at the Fermi energy: 3.0 states/eV per cell
data_TePRh2
_chemical_formula_sum 'Te1 P1 Rh2'
_symmetry_space_group_name_H-M 'P m m m'
_symmetry_Int_Tables_number 47
_cell_length_a 3.5171
_cell_length_b 3.7134
_cell_length_c 5.7588
_cell_angle_alpha 90.00
_cell_angle_beta 90.00
_cell_angle_gamma 90.00
loop_
_symmetry_equiv_pos_as_xyz
'x,y,z'
'-x,-y,-z'
'-x,-y,z'
'x,y,-z'
'x,-y,-z'
'-x,y,z'
'-x,y,-z'
'x,-y,z'
loop_
_atom_site_label
_atom_site_type_symbol
_atom_site_fract_x
_atom_site_fract_y
_atom_site_fract_z
Te1 Te 0.0000 0.0000 0.0000
P1 P 0.0000 0.5000 0.5000
Rh1 Rh 0.5000 0.5000 0.2567

***

11.
# Te2PRh, optimized geometry, DFT PBE-GGA
# spin magnetization: 0.000 Bohr magnetons per cell
# E_tot: -4.728 eV per atom
# formation energy without anion corrections: 34 meV/atom
# DOS at the Fermi energy: 7.5 states/eV per cell
data_Te2PRh
_chemical_formula_sum 'Te6 P3 Rh3'
_symmetry_space_group_name_H-M 'R -3 m'
_symmetry_Int_Tables_number 166
_symmetry_space_group_name_Hall '-R 3 2"'
_cell_length_a 3.8670
_cell_length_b 3.8670
_cell_length_c 19.8092
_cell_angle_alpha 90.00
_cell_angle_beta 90.00
_cell_angle_gamma 120.00
loop_
_atom_site_label
_atom_site_type_symbol
_atom_site_fract_x
_atom_site_fract_y
_atom_site_fract_z
Te1 Te 0.0000 0.0000 0.2449
P1 P 0.0000 0.0000 0.0000
Rh1 Rh 0.0000 0.0000 0.5000

***

12.
# TeP2Rh, optimized geometry, DFT PBE-GGA
# spin magnetization: 0.000 Bohr magnetons per cell
# E_tot: -4.808 eV per atom
# formation energy without anion corrections: 520 meV/atom
# DOS at the Fermi energy: 2.6 states/eV per cell
data_TeP2Rh
_chemical_formula_sum 'Te1 P2 Rh1'
_symmetry_space_group_name_H-M 'P 4/m m m'
_symmetry_Int_Tables_number 123
_symmetry_space_group_name_Hall '-P 4 2'
_cell_length_a 4.5925
_cell_length_b 4.5925
_cell_length_c 3.1989
_cell_angle_alpha 90.00
_cell_angle_beta 90.00
_cell_angle_gamma 90.00
loop_
_atom_site_label
_atom_site_type_symbol
_atom_site_fract_x
_atom_site_fract_y
_atom_site_fract_z
Te1 Te 0.0000 0.0000 0.0000
P1 P 0.0000 0.5000 0.5000
Rh1 Rh 0.5000 0.5000 0.0000

***

13.
# TeP2Rh, optimized geometry, DFT PBE-GGA
# spin magnetization: 0.000 Bohr magnetons per cell
# E_tot: -5.302 eV per atom
# formation energy without anion corrections: 26 meV/atom
# DOS at the Fermi energy: 7.6 states/eV per cell
data_TeP2Rh
_chemical_formula_sum 'Te3 P6 Rh3'
_symmetry_space_group_name_H-M 'R -3 m'
_symmetry_Int_Tables_number 166
_symmetry_space_group_name_Hall '-R 3 2"'
_cell_length_a 3.6111
_cell_length_b 3.6111
_cell_length_c 19.1989
_cell_angle_alpha 90.00
_cell_angle_beta 90.00
_cell_angle_gamma 120.00
loop_
_atom_site_label
_atom_site_type_symbol
_atom_site_fract_x
_atom_site_fract_y
_atom_site_fract_z
Te1 Te 0.0000 0.0000 0.0000
P1 P 0.0000 0.0000 0.2339
Rh1 Rh 0.0000 0.0000 0.5000

***

14.
# TePRh2, optimized geometry, DFT PBE-GGA
# spin magnetization: 0.000 Bohr magnetons per cell
# E_tot: -5.945 eV per atom
# polymorph energy (0 for the lowest one): 29.45 kJ per mole of atoms
# formation energy without anion corrections: -131 meV/atom
# DOS at the Fermi energy: 3.0 states/eV per cell
data_TePRh2
_chemical_formula_sum 'Te1 P1 Rh2'
_symmetry_space_group_name_H-M 'P 4/m m m'
_symmetry_Int_Tables_number 123
_symmetry_space_group_name_Hall '-P 4 2'
_cell_length_a 3.0166
_cell_length_b 3.0166
_cell_length_c 7.1619
_cell_angle_alpha 90.00
_cell_angle_beta 90.00
_cell_angle_gamma 90.00
loop_
_atom_site_label
_atom_site_type_symbol
_atom_site_fract_x
_atom_site_fract_y
_atom_site_fract_z
Te1 Te 0.0000 0.0000 0.0000
P1 P 0.0000 0.0000 0.5000
Rh1 Rh 0.5000 0.5000 0.3104

***

15.
# Te2PRh, optimized geometry, DFT PBE-GGA
# spin magnetization: 0.000 Bohr magnetons per cell
# E_tot: -4.887 eV per atom
# formation energy without anion corrections: -126 meV/atom
# DOS at the Fermi energy: 5.0 states/eV per cell
data_Te2PRh
_chemical_formula_sum 'Te4 P2 Rh2'
_symmetry_space_group_name_H-M 'A m m 2'
_symmetry_Int_Tables_number 38
_cell_length_a 3.6693
_cell_length_b 5.3062
_cell_length_c 8.8215
_cell_angle_alpha 90.00
_cell_angle_beta 90.00
_cell_angle_gamma 90.00
loop_
_symmetry_equiv_pos_as_xyz
'x,y,z'
'-x,-y,z'
'-x,y,z'
'x,-y,z'
'x,y+1/2,z+1/2'
'-x,-y+1/2,z+1/2'
'-x,y+1/2,z+1/2'
'x,-y+1/2,z+1/2'
loop_
_atom_site_label
_atom_site_type_symbol
_atom_site_fract_x
_atom_site_fract_y
_atom_site_fract_z
Te1 Te 0.0000 0.0000 0.0000
Te2 Te 0.5000 0.0000 0.3020
P1 P 0.5000 0.0000 0.7010
Rh1 Rh 0.0000 0.0000 0.5300